16
Lattice="7.973 0.000 0.000 0.000 7.975 0.000 -3.986 0.000 5.614" Properties=species:S:1:pos:R:3 comment="Cu3SbSe3S (PBE-GGA, optimized geometry)" space_group="Cm (8)" pbc="T T T"
Cu 0.000 0.000 0.000
Cu 1.901 1.903 2.685
Cu 1.901 6.073 2.685
Cu 3.987 3.988 0.000
Cu 5.888 2.085 2.685
Cu 5.888 5.890 2.685
Sb -0.155 0.000 5.583
Sb 3.832 3.988 5.583
Se -0.082 2.136 4.047
Se -0.082 5.839 4.047
Se 2.030 3.988 1.451
Se 3.904 1.852 4.047
Se 3.904 6.124 4.047
Se 6.017 0.000 1.451
S 1.769 0.000 1.437
S 5.756 3.988 1.437

***

16
Lattice="7.407 0.000 0.000 0.000 7.407 0.000 0.000 0.000 7.407" Properties=species:S:1:pos:R:3 comment="CsYAlAu (PBE-GGA, optimized geometry)" space_group="F-43m (216)" pbc="T T T"
Cs 0.000 0.000 0.000
Cs 0.000 3.703 3.703
Cs 3.703 0.000 3.703
Cs 3.703 3.703 0.000
Y 1.852 1.852 1.852
Y 1.852 5.555 5.555
Y 5.555 1.852 5.555
Y 5.555 5.555 1.852
Al 1.852 1.852 5.555
Al 1.852 5.555 1.852
Al 5.555 1.852 1.852
Al 5.555 5.555 5.555
Au 0.000 0.000 3.703
Au 0.000 3.703 0.000
Au 3.703 0.000 0.000
Au 3.703 3.703 3.703

***

16
Lattice="6.237 0.000 0.000 0.000 6.237 0.000 0.000 0.000 6.237" Properties=species:S:1:pos:R:3 comment="LiScZnNi (PBE-GGA, optimized geometry)" space_group="F-43m (216)" pbc="T T T"
Li 0.000 0.000 0.000
Li 0.000 3.119 3.119
Li 3.119 0.000 3.119
Li 3.119 3.119 0.000
Sc 0.000 0.000 3.119
Sc 0.000 3.119 0.000
Sc 3.119 0.000 0.000
Sc 3.119 3.119 3.119
Zn 1.559 1.559 4.678
Zn 1.559 4.678 1.559
Zn 4.678 1.559 1.559
Zn 4.678 4.678 4.678
Ni 1.559 1.559 1.559
Ni 1.559 4.678 4.678
Ni 4.678 1.559 4.678
Ni 4.678 4.678 1.559

***

The records above give, respectively, electronic total energy values of -3.9307 -3.3590 -3.9655 eV per atom.